Entry 1:
The following is a DFT calculation (PBE) of crystalline AsPb2 at its relaxed geometry.

a = 4.258 Å, b = 12.617 Å, c = 6.461 Å
α = 90.00°, β = 90.00°, γ = 90.00°
Sites, in units of the cell vectors:
As  0.000  0.135  0.000
As  0.000  0.865  0.500
As  0.500  0.365  0.500
As  0.500  0.635  0.000
Pb  0.000  0.200  0.505
Pb  0.000  0.498  0.755
Pb  0.000  0.502  0.255
Pb  0.000  0.800  0.005
Pb  0.500  0.002  0.255
Pb  0.500  0.300  0.005
Pb  0.500  0.700  0.505
Pb  0.500  0.998  0.755

## Properties
uncorrected energy	-4.02	eV per atom
DOS(E_F)	3.67	states/eV/cell
SG	Cmc2_1
formation energy	2	meV per atom


Entry 2:
The following is a DFT calculation (PBE) of crystalline SrGa2SbS6 at its relaxed geometry.

a = 8.690 Å, b = 8.690 Å, c = 7.643 Å
α = 109.19°, β = 109.19°, γ = 75.63°
Sites, in units of the cell vectors:
Sr  0.173  0.827  0.750
Sr  0.827  0.173  0.250
Ga  0.215  0.362  0.808
Ga  0.362  0.215  0.308
Ga  0.638  0.785  0.692
Ga  0.785  0.638  0.192
Sb  0.235  0.765  0.250
Sb  0.765  0.235  0.750
S  0.025  0.177  0.653
S  0.071  0.618  0.904
S  0.177  0.025  0.153
S  0.283  0.417  0.560
S  0.382  0.929  0.596
S  0.417  0.283  0.060
S  0.583  0.717  0.940
S  0.618  0.071  0.404
S  0.717  0.583  0.440
S  0.823  0.975  0.847
S  0.929  0.382  0.096
S  0.975  0.823  0.347

## Properties
uncorrected energy	-4.35	eV per atom
energy relative to the elements, uncorrected	-0.6905	eV per atom
DOS(E_F)	9.81	states/eV/cell
SG	C2/c


Entry 3:
The following is a DFT calculation (PBE) of crystalline FeHgW2 at its relaxed geometry.

a = 3.249 Å, b = 3.249 Å, c = 6.164 Å
α = 90.00°, β = 90.00°, γ = 90.00°
Sites, in units of the cell vectors:
Fe  0.000  0.000  0.000
Hg  0.500  0.500  0.258
W  0.000  0.000  0.559
W  0.500  0.500  0.784

## Properties
uncorrected energy	-8.18	eV per atom
DOS(E_F)	3.45	states/eV/cell
SG	P4mm
formation energy	486	meV per atom


Entry 4:
The following is a DFT calculation (PBE) of crystalline NdDy2ErSe4 at its relaxed geometry.

a = 7.081 Å, b = 4.045 Å, c = 7.219 Å
α = 90.00°, β = 108.72°, γ = 90.00°
Sites, in units of the cell vectors:
Nd  0.000  0.000  0.000
Dy  0.500  0.000  0.500
Dy  0.500  0.500  0.000
Er  0.000  0.500  0.500
Se  0.252  0.000  0.742
Se  0.258  0.500  0.261
Se  0.742  0.500  0.739
Se  0.748  0.000  0.258

## Properties
uncorrected energy	-5.81	eV per atom
energy relative to the elements, uncorrected	-1.7504	eV per atom
DOS(E_F)	4.42	states/eV/cell
SG	P2/m


Entry 5:
The following is a DFT calculation (PBE) of crystalline Nd2SBr at its relaxed geometry.

a = 3.996 Å, b = 3.996 Å, c = 22.925 Å
α = 90.00°, β = 90.00°, γ = 120.00°
Sites, in units of the cell vectors:
Nd  0.000  0.000  0.234
Nd  0.000  0.000  0.766
Nd  0.333  0.667  0.433
Nd  0.333  0.667  0.900
Nd  0.667  0.333  0.100
Nd  0.667  0.333  0.567
S  0.000  0.000  0.500
S  0.333  0.667  0.167
S  0.667  0.333  0.833
Br  0.000  0.000  0.000
Br  0.333  0.667  0.667
Br  0.667  0.333  0.333

## Properties
uncorrected energy	-5.43	eV per atom
energy relative to the elements, uncorrected	-1.5935	eV per atom
DOS(E_F)	4.69	states/eV/cell
SG	R-3m


Entry 6:
The following is a DFT calculation (PBE) of crystalline DyPu3Pd4 at its relaxed geometry.

a = 3.451 Å, b = 5.004 Å, c = 10.092 Å
α = 90.00°, β = 90.00°, γ = 90.00°
Sites, in units of the cell vectors:
Dy  0.000  0.000  0.000
Pu  0.000  0.000  0.500
Pu  0.000  0.500  0.254
Pu  0.000  0.500  0.746
Pd  0.500  0.000  0.239
Pd  0.500  0.000  0.761
Pd  0.500  0.500  0.000
Pd  0.500  0.500  0.500

## Properties
uncorrected energy	-9.06	eV per atom
DOS(E_F)	30.99	states/eV/cell
SG	Pmmm
formation energy	-516	meV per atom


| no. | size of the total moment (μB/atom) |
| --- | --- |
| 1 | 0.000 |
| 2 | 0.001 |
| 3 | 0.507 |
| 4 | 0.000 |
| 5 | 0.000 |
| 6 | 2.116 |